[1]
The following is a DFT calculation (GGA-PBE) of a geometry-optimized CaZn2Cu3 structure.

a = 5.0560 Å, b = 6.4025 Å, c = 6.4025 Å
α = 98.44°, β = 90.00°, γ = 90.00°
Element x y z (fractional)
Ca 0.2500 0.3076 0.3076
Ca 0.7500 0.6924 0.6924
Cu 0.2500 0.9354 0.9354
Cu 0.2500 0.5465 0.9279
Zn 0.5000 0.7763 0.2237
Zn 0.0000 0.7763 0.2237
Cu 0.7500 0.4535 0.0721
Cu 0.7500 0.0646 0.0646
Zn 0.0000 0.2237 0.7763
Cu 0.2500 0.9279 0.5465
Cu 0.7500 0.0721 0.4535
Zn 0.5000 0.2237 0.7763

---

[2]
The following is a DFT calculation (GGA-PBE) of a geometry-optimized CaZn5Cu2 structure.

a = 3.9585 Å, b = 6.2852 Å, c = 6.2852 Å
α = 71.44°, β = 71.64°, γ = 71.64°
Element x y z (fractional)
Zn 0.6517 0.1637 0.5328
Cu 0.7430 0.7570 0.7570
Ca 0.0000 0.0000 0.0000
Cu 0.2570 0.2430 0.2430
Zn 0.6517 0.5328 0.1637
Zn 0.0000 0.5000 0.5000
Zn 0.3483 0.8363 0.4672
Zn 0.3483 0.4672 0.8363

---

[3]
The following is a DFT calculation (GGA-PBE) of a geometry-optimized CaZn9Cu2 structure.

a = 6.7842 Å, b = 8.1991 Å, c = 8.1991 Å
α = 80.14°, β = 65.56°, γ = 65.56°
Element x y z (fractional)
Cu 0.8750 0.2500 0.7500
Cu 0.8750 0.2500 0.2500
Zn 0.4369 0.8266 0.4166
Zn 0.0700 0.9166 0.3266
Zn 0.7500 0.5000 0.5000
Zn 0.6034 0.0834 0.3266
Zn 0.3131 0.0834 0.6734
Zn 0.6034 0.3266 0.0834
Zn 0.0700 0.3266 0.9166
Zn 0.7366 0.5834 0.8266
Zn 0.3131 0.6734 0.0834
Cu 0.8750 0.7500 0.2500
Zn 0.0000 0.0000 0.0000
Zn 0.6800 0.1734 0.5834
Zn 0.0134 0.6734 0.9166
Ca 0.5000 0.0000 0.0000
Zn 0.0134 0.9166 0.6734
Ca 0.2500 0.5000 0.5000
Zn 0.7366 0.8266 0.5834
Cu 0.3750 0.7500 0.7500
Zn 0.4369 0.4166 0.8266
Zn 0.1466 0.4166 0.1734
Zn 0.1466 0.1734 0.4166
Zn 0.6800 0.5834 0.1734

---

[4]
The following is a DFT calculation (GGA-PBE) of a geometry-optimized Ca2ZnCu structure.

a = 8.1441 Å, b = 5.1492 Å, c = 3.5845 Å
α = 89.92°, β = 64.00°, γ = 129.66°
Element x y z (fractional)
Ca 0.0000 0.0000 0.0000
Cu 0.0000 0.5000 0.5000
Ca 0.5000 0.0000 0.5000
Zn 0.5000 0.5000 0.0000

---

[5]
The following is a DFT calculation (GGA-PBE) of a geometry-optimized CaZn2Cu2 structure.

a = 4.2429 Å, b = 4.2429 Å, c = 10.4859 Å
α = 101.67°, β = 101.67°, γ = 90.00°
Element x y z (fractional)
Zn 0.8135 0.8135 0.6270
Cu 0.2500 0.7500 0.5000
Ca 0.6286 0.6286 0.2571
Ca 0.3714 0.3714 0.7429
Zn 0.0000 0.5000 0.0000
Cu 0.0659 0.0659 0.1318
Cu 0.7500 0.2500 0.5000
Zn 0.5000 0.0000 0.0000
Cu 0.9341 0.9341 0.8682
Zn 0.1865 0.1865 0.3730

---

[6]
The following is a DFT calculation (GGA-PBE) of a geometry-optimized CaZnCu4 structure.

a = 5.9005 Å, b = 5.9005 Å, c = 6.8984 Å
α = 90.00°, β = 90.00°, γ = 90.00°
Element x y z (fractional)
Ca 0.5000 0.0000 0.5000
Cu 0.0000 0.0000 0.6669
Cu 0.6395 0.1395 0.0000
Cu 0.1395 0.3605 0.0000
Ca 0.0000 0.5000 0.5000
Zn 0.5000 0.5000 0.0000
Cu 0.5000 0.5000 0.3331
Zn 0.0000 0.0000 0.0000
Cu 0.5000 0.5000 0.6669
Cu 0.8605 0.6395 0.0000
Cu 0.3605 0.8605 0.0000
Cu 0.0000 0.0000 0.3331

---

Formation energy: -0.150; -0.144; -0.188; -0.134; -0.161; 0.371 (eV per atom)
E_tot: -2.96; -2.21; -1.99; -2.48; -2.71; -2.91 (eV/atom)